This record from Alexandria via LeMat-Bulk describes a relaxed structure of Nb2CrPF. The functional is PBE with a Hubbard U.

CIF file:
```
data_Nb2CrPF
_chemical_formula_sum 'Nb2 Cr1 P1 F1'
_space_group_name_H-M_alt 'P 4/m m m'
_space_group_IT_number 123
_space_group_name_Hall '-P 4 2'
_cell_length_a 4.3147
_cell_length_b 4.3147
_cell_length_c 3.9025
_cell_angle_alpha 90.00
_cell_angle_beta 90.00
_cell_angle_gamma 90.00
loop_
_atom_site_label
_atom_site_type_symbol
_atom_site_fract_x
_atom_site_fract_y
_atom_site_fract_z
Nb1 Nb 0.0000 0.5000 0.0000
Cr1 Cr 0.0000 0.0000 0.5000
P1 P 0.5000 0.5000 0.5000
F1 F 0.0000 0.0000 0.0000
```

Computed properties:
Its density is 6.6 Mg/m³. As for the total energy: -6.55 eV/atom. The calculation puts the size of the total moment at 0.46 μB/f.u.